# 1
A relaxed Cu4Se3 crystal. Source: Alexandria via LeMat-Bulk, functional PBE.

Geometry as extended XYZ:
```
7
Lattice="-1.070 9.565 2.395 -1.790 7.920 5.697 1.763 8.577 4.659" Properties=species:S:1:pos:R:3 pbc="T T T"
Cu -0.131 3.112 1.522
Cu -0.706 16.779 8.209
Cu -0.966 22.950 11.229
Cu -0.391 9.283 4.542
Se -0.801 19.047 9.319
Se -0.295 7.015 3.432
Se -0.548 13.031 6.376
```

formation energy without anion corrections	-0.33	eV/f.u.
calculated volume	16.92	Å³/atom
relative energy among the computed polymorphs	15	meV per atom
calculated density	6.89	Mg/m³
uncorrected energy	-3.881	eV per atom


# 2
A relaxed La8Co2Hg crystal. Source: Alexandria via LeMat-Bulk, functional PBE.

Geometry as extended XYZ:
```
11
Lattice="5.738 0.158 -0.898 -1.869 7.232 -3.390 0.154 -0.408 8.191" Properties=species:S:1:pos:R:3 pbc="T T T"
La 2.561 2.553 -0.928
La 3.077 0.604 2.026
La 0.424 2.779 1.759
La 5.397 1.617 4.505
La 4.353 5.561 -1.474
La 3.595 4.253 2.177
La 0.935 6.419 1.903
La 1.451 4.468 4.861
Co 1.556 5.212 -0.615
Co 2.458 1.808 4.545
Hg 5.725 0.184 -0.879
```

calculated volume	30.42	Å³/atom
relative energy among the computed polymorphs	43	meV per atom
calculated density	7.09	Mg/m³
DFT formation energy	-0.969	eV/f.u.
uncorrected energy	-4.991	eV per atom


# 3
A relaxed LiCd4Hg6 crystal. Source: Alexandria via LeMat-Bulk, functional PBE.

Geometry as extended XYZ:
```
11
Lattice="-5.423 1.114 -2.729 1.442 -2.517 -5.447 -1.045 -5.731 5.015" Properties=species:S:1:pos:R:3 pbc="T T T"
Li -3.980 -1.423 -8.151
Cd -3.906 -1.757 -2.863
Cd -3.227 -4.688 -1.888
Cd -1.340 -3.114 -3.880
Cd -1.507 -4.370 2.030
Hg -0.486 -5.424 -0.612
Hg -4.141 -3.491 0.835
Hg -3.998 -3.259 -5.743
Hg -4.590 -0.226 -5.408
Hg -1.529 -2.355 -0.716
Hg -1.348 -1.941 -6.692
```

calculated volume	24.16	Å³/atom
calculated density	10.37	Mg/m³
DFT formation energy	-0.464	eV/f.u.
uncorrected energy	-0.714	eV per atom


# 4
A relaxed WCS2 crystal. Source: Alexandria via LeMat-Bulk, functional PBE.

Geometry as extended XYZ:
```
8
Lattice="-1.678 4.461 -1.538 -2.069 0.772 4.496 2.056 4.601 2.946" Properties=species:S:1:pos:R:3 pbc="T T T"
S -0.695 3.774 0.427
S -1.087 2.451 3.264
S 0.016 5.458 3.581
S -1.616 7.984 4.535
C -1.873 2.616 1.479
C -0.943 3.994 4.460
W 0.000 0.000 0.000
W -0.748 5.839 1.443
```

formation energy without anion corrections	4.25	eV/f.u.
calculated volume	14.55	Å³/atom
calculated density	7.42	Mg/m³
uncorrected energy	-6.545	eV per atom


# 5
A relaxed Nb12Mo6Rh crystal. Source: Alexandria via LeMat-Bulk, functional PBE.

Geometry as extended XYZ:
```
19
Lattice="7.214 -0.219 -0.263 -1.310 7.098 -0.263 -1.310 -1.527 6.937" Properties=species:S:1:pos:R:3 pbc="T T T"
Nb 4.896 3.467 4.153
Nb 2.684 5.365 4.153
Nb 2.685 3.127 6.020
Nb -0.302 1.885 2.259
Nb 1.910 -0.013 2.258
Nb 1.909 2.225 0.391
Nb 4.838 5.637 1.774
Nb -0.245 4.613 0.548
Nb 4.597 0.457 0.548
Nb -0.245 -0.285 4.637
Nb 4.838 0.738 5.863
Nb -0.004 4.894 5.863
Mo 2.297 4.979 1.284
Mo 4.573 3.025 1.283
Mo 0.020 4.629 3.206
Mo 2.297 0.372 5.127
Mo 0.021 2.327 5.129
Mo 4.574 0.723 3.206
Rh 0.000 0.000 0.000
```

calculated volume	18.28	Å³/atom
calculated density	8.58	Mg/m³
DFT formation energy	4.547	eV/f.u.
uncorrected energy	-9.928	eV per atom


# 6
A relaxed KPO4 crystal. Source: Alexandria via LeMat-Bulk, functional PBE.

Geometry as extended XYZ:
```
24
Lattice="-6.009 -3.058 -3.718 0.620 -6.187 4.087 -4.094 -1.769 8.072" Properties=species:S:1:pos:R:3 pbc="T T T"
K -1.859 -2.857 2.918
K -7.623 -8.157 5.524
K -4.409 -6.678 2.210
K -5.073 -4.336 6.232
P -1.719 -5.933 5.102
P -7.764 -5.082 3.340
P -4.639 -3.649 -0.029
P -4.843 -7.366 8.471
O -5.156 -8.810 4.250
O -4.326 -2.204 4.191
O -1.806 -1.079 0.448
O -7.676 -9.936 7.994
O -1.928 -6.063 6.630
O -7.554 -4.951 1.812
O -3.614 -3.103 -1.053
O -5.868 -7.911 9.494
O -0.674 -4.849 4.771
O -8.808 -6.165 3.671
O -3.989 -3.870 1.350
O -5.494 -7.145 7.091
O -3.085 -5.550 4.505
O -6.398 -5.464 3.937
O -5.150 -4.986 -0.594
O -4.333 -6.028 9.035
```

formation energy without anion corrections	-9.54	eV/f.u.
calculated volume	17.56	Å³/atom
calculated density	2.11	Mg/m³
uncorrected energy	-5.980	eV per atom


# 7
A relaxed Er7Bi2Os2 crystal. Source: Alexandria via LeMat-Bulk, functional PBE.

Geometry as extended XYZ:
```
11
Lattice="-2.991 1.706 2.021 -7.448 -1.576 -5.751 -6.002 -7.313 1.233" Properties=species:S:1:pos:R:3 pbc="T T T"
Er -4.773 -0.831 1.526
Er -11.051 -5.762 0.338
Er -7.527 -6.347 2.106
Er -6.973 -1.564 -1.112
Er -9.776 -4.404 -2.864
Er -11.375 -7.520 -2.601
Er -4.720 -4.084 0.406
Bi -7.102 -2.950 -4.079
Bi -8.008 -4.437 -0.220
Os -12.531 -4.954 -2.535
Os -4.166 -1.216 -1.196
```

calculated volume	27.01	Å³/atom
calculated density	11.01	Mg/m³
DFT formation energy	-4.874	eV/f.u.
uncorrected energy	-6.094	eV per atom


# 8
A relaxed Sm3AlTl3Te8 crystal. Source: Alexandria via LeMat-Bulk, functional PBE.

Geometry as extended XYZ:
```
15
Lattice="8.865 -0.002 -0.003 -4.434 7.682 -0.027 -0.001 -5.087 8.165" Properties=species:S:1:pos:R:3 pbc="T T T"
Sm 4.432 -2.544 4.081
Sm 2.215 1.297 4.068
Sm -2.218 1.297 4.069
Al -0.001 -2.543 4.083
Tl 0.000 0.000 0.000
Tl -2.217 3.841 -0.014
Tl 2.216 3.840 -0.015
Te -0.002 2.571 2.257
Te 4.432 0.022 5.879
Te 4.431 2.787 2.405
Te -0.001 -0.194 5.730
Te 6.836 -1.379 2.419
Te -2.406 3.972 5.716
Te 2.028 -1.378 2.421
Te 2.402 3.971 5.715
```

formation energy without anion corrections	-12.78	eV/f.u.
calculated volume	36.98	Å³/atom
calculated density	6.32	Mg/m³
uncorrected energy	-4.194	eV per atom


# 9
A relaxed Ga2WSe crystal. Source: Alexandria via LeMat-Bulk, functional PBE.

Geometry as extended XYZ:
```
8
Lattice="-8.706 4.425 -1.706 -4.695 -8.548 1.786 -6.863 -1.487 2.362" Properties=species:S:1:pos:R:3 pbc="T T T"
Ga -9.920 2.432 -0.679
Ga -12.268 -1.841 0.214
Ga -8.999 -0.525 1.355
Ga -13.352 1.689 0.502
Se -6.700 -2.061 0.040
Se -9.129 -6.048 2.094
W 0.000 0.000 0.000
W -11.135 0.439 0.348
```

formation energy without anion corrections	1.40	eV/f.u.
calculated volume	29.45	Å³/atom
calculated density	5.67	Mg/m³
uncorrected energy	-5.272	eV per atom


# 10
A relaxed CsBe3S crystal. Source: Alexandria via LeMat-Bulk, functional PBE.

Geometry as extended XYZ:
```
5
Lattice="6.617 0.000 0.000 0.000 6.617 0.000 0.000 0.000 6.617" Properties=species:S:1:pos:R:3 pbc="T T T"
Cs 0.000 0.000 0.000
Be 0.000 3.309 0.000
Be 0.000 0.000 3.309
Be 3.309 0.000 0.000
S 3.309 3.309 3.309
```

formation energy without anion corrections	12.27	eV/f.u.
calculated volume	57.95	Å³/atom
relative energy among the computed polymorphs	1232	meV per atom
calculated density	1.10	Mg/m³
uncorrected energy	-0.779	eV per atom


# 11
A relaxed Cr2HgW crystal. Source: Alexandria via LeMat-Bulk, functional PBE.

Geometry as extended XYZ:
```
4
Lattice="5.160 -0.008 0.103 4.255 2.919 0.103 1.779 0.550 3.978" Properties=species:S:1:pos:R:3 pbc="T T T"
Cr 1.916 0.592 3.912
Cr 8.196 2.534 3.235
Hg 5.516 1.705 2.134
W 2.942 0.909 0.972
```

calculated volume	14.87	Å³/atom
calculated density	13.64	Mg/m³
DFT formation energy	2.330	eV/f.u.
uncorrected energy	-7.543	eV per atom


# 12
A relaxed Sr2Be2RhO6 crystal. Source: Alexandria via LeMat-Bulk, functional PBE.

Geometry as extended XYZ:
```
11
Lattice="5.369 0.000 0.000 -2.684 4.649 0.000 0.000 0.000 5.861" Properties=species:S:1:pos:R:3 pbc="T T T"
Sr 2.684 1.550 4.140
Sr 0.000 3.100 1.722
Be 0.000 3.100 4.751
Be 2.684 1.550 1.111
Rh 0.000 0.000 0.000
O -0.274 1.609 4.651
O 1.428 3.608 4.651
O -1.154 4.082 4.651
O 2.958 3.040 1.210
O 1.257 1.041 1.210
O 3.838 0.567 1.210
```

formation energy without anion corrections	-21.98	eV/f.u.
calculated volume	13.30	Å³/atom
calculated density	4.45	Mg/m³
uncorrected energy	-6.354	eV per atom